Entry 1:
A plane-wave DFT calculation with GGA-PBE was carried out for a relaxed Te2S2Cl crystal.

Geometry as CIF:
```
data_Te2S2Cl
_chemical_formula_sum 'Te4 S4 Cl2'
_cell_length_a 7.8711
_cell_length_b 7.8711
_cell_length_c 3.7226
_cell_angle_alpha 90.00
_cell_angle_beta 90.00
_cell_angle_gamma 90.00
_symmetry_space_group_name_H-M 'P 4/m b m'
_symmetry_Int_Tables_number 127
_symmetry_space_group_name_Hall '-P 4 2ab'
loop_
_atom_site_label
_atom_site_type_symbol
_atom_site_fract_x
_atom_site_fract_y
_atom_site_fract_z
Te1 Te 0.1673 0.3327 0.0000
S1 S 0.1610 0.6610 0.5000
Cl1 Cl 0.0000 0.0000 0.0000
```

Summary:
Crystal system ... tetragonal
ΔE_f (raw) ... 198.2 meV/atom
ΔE to the lowest computed polymorph ... 258 meV/atom
Total magnetization ... 0.000 μB per atom


Entry 2:
A plane-wave DFT calculation with GGA-PBE was carried out for a relaxed PCCl3 crystal.

Geometry as CIF:
```
data_PCCl3
_chemical_formula_sum 'P1 C1 Cl3'
_cell_length_a 4.7821
_cell_length_b 4.7821
_cell_length_c 4.7821
_cell_angle_alpha 90.00
_cell_angle_beta 90.00
_cell_angle_gamma 90.00
_symmetry_space_group_name_H-M 'P m -3 m'
_symmetry_Int_Tables_number 221
_symmetry_space_group_name_Hall '-P 4 2 3'
loop_
_atom_site_label
_atom_site_type_symbol
_atom_site_fract_x
_atom_site_fract_y
_atom_site_fract_z
P1 P 0.0000 0.0000 0.0000
C1 C 0.5000 0.5000 0.5000
Cl1 Cl 0.0000 0.0000 0.5000
```

Summary:
Crystal system ... cubic
ΔE_f (raw) ... 1297.8 meV/atom
Total magnetization ... 0.387 μB per atom


Entry 3:
A plane-wave DFT calculation with GGA-PBE was carried out for a relaxed SbAsPt3 crystal.

Geometry as CIF:
```
data_SbAsPt3
_chemical_formula_sum 'Sb1 As1 Pt3'
_cell_length_a 4.9349
_cell_length_b 4.9349
_cell_length_c 4.9349
_cell_angle_alpha 90.00
_cell_angle_beta 90.00
_cell_angle_gamma 90.00
_symmetry_space_group_name_H-M 'P m -3 m'
_symmetry_Int_Tables_number 221
_symmetry_space_group_name_Hall '-P 4 2 3'
loop_
_atom_site_label
_atom_site_type_symbol
_atom_site_fract_x
_atom_site_fract_y
_atom_site_fract_z
Sb1 Sb 0.0000 0.0000 0.0000
As1 As 0.5000 0.5000 0.5000
Pt1 Pt 0.0000 0.0000 0.5000
```

Summary:
Crystal system ... cubic
ΔE_f (raw) ... 926.2 meV/atom
ΔE to the lowest computed polymorph ... 600 meV/atom
Total magnetization ... 0.000 μB per atom


Entry 4:
A plane-wave DFT calculation with GGA-PBE was carried out for a relaxed SrPu2GeP4 crystal.

Geometry as CIF:
```
data_SrPu2GeP4
_chemical_formula_sum 'Sr4 Pu8 Ge4 P16'
_cell_length_a 4.0657
_cell_length_b 13.7580
_cell_length_c 13.4742
_cell_angle_alpha 90.00
_cell_angle_beta 90.00
_cell_angle_gamma 90.00
_symmetry_space_group_name_H-M 'C m c m'
_symmetry_Int_Tables_number 63
_symmetry_space_group_name_Hall '-C 2c 2'
loop_
_atom_site_label
_atom_site_type_symbol
_atom_site_fract_x
_atom_site_fract_y
_atom_site_fract_z
Sr1 Sr 0.0000 0.1151 0.2500
Pu1 Pu 0.0000 0.3705 0.0546
Ge1 Ge 0.0000 0.1553 0.7500
P1 P 0.0000 0.0000 0.0000
P2 P 0.0000 0.2628 0.6162
P3 P 0.0000 0.4414 0.2500
```

Summary:
Crystal system ... orthorhombic
Uncorrected energy ... -7.85 eV per atom
Total magnetization ... 1.213 μB per atom


Entry 5:
A plane-wave DFT calculation with GGA-PBE was carried out for a relaxed Cs3PuTl3Br8 crystal.

Geometry as CIF:
```
data_Cs3PuTl3Br8
_chemical_formula_sum 'Cs9 Pu3 Tl9 Br24'
_cell_length_a 9.7186
_cell_length_b 9.7186
_cell_length_c 25.1282
_cell_angle_alpha 90.00
_cell_angle_beta 90.00
_cell_angle_gamma 120.00
_symmetry_space_group_name_H-M 'R -3 m'
_symmetry_Int_Tables_number 166
_symmetry_space_group_name_Hall '-R 3 2"'
loop_
_atom_site_label
_atom_site_type_symbol
_atom_site_fract_x
_atom_site_fract_y
_atom_site_fract_z
Cs1 Cs 0.0000 0.5000 0.0000
Pu1 Pu 0.0000 0.0000 0.5000
Tl1 Tl 0.0000 0.5000 0.5000
Br1 Br 0.0000 0.0000 0.2426
Br2 Br 0.0371 0.5185 0.2349
```

Summary:
Crystal system ... trigonal
ΔE_f (raw) ... -1337.9 meV/atom
Total magnetization ... 0.397 μB per atom


Entry 6:
A plane-wave DFT calculation with GGA-PBE was carried out for a relaxed Ho12Fe6Hg crystal.

Geometry as CIF:
```
data_Ho12Fe6Hg
_chemical_formula_sum 'Ho24 Fe12 Hg2'
_cell_length_a 9.6187
_cell_length_b 9.6187
_cell_length_c 9.6187
_cell_angle_alpha 90.00
_cell_angle_beta 90.00
_cell_angle_gamma 90.00
_symmetry_space_group_name_H-M 'I m -3'
_symmetry_Int_Tables_number 204
_symmetry_space_group_name_Hall '-I 2 2 3'
loop_
_atom_site_label
_atom_site_type_symbol
_atom_site_fract_x
_atom_site_fract_y
_atom_site_fract_z
Ho1 Ho 0.0000 0.1949 0.2978
Fe1 Fe 0.0000 0.3896 0.5000
Hg1 Hg 0.0000 0.0000 0.0000
```

Summary:
Crystal system ... cubic
Uncorrected energy ... -5.66 eV per atom
Total magnetization ... 0.299 μB per atom


Entry 7:
A plane-wave DFT calculation with GGA-PBE was carried out for a relaxed RuPb2Se2 crystal.

Geometry as CIF:
```
data_RuPb2Se2
_chemical_formula_sum 'Ru2 Pb4 Se4'
_cell_length_a 3.6332
_cell_length_b 3.6332
_cell_length_c 18.9203
_cell_angle_alpha 90.00
_cell_angle_beta 90.00
_cell_angle_gamma 90.00
_symmetry_space_group_name_H-M 'I 4/m m m'
_symmetry_Int_Tables_number 139
_symmetry_space_group_name_Hall '-I 4 2'
loop_
_atom_site_label
_atom_site_type_symbol
_atom_site_fract_x
_atom_site_fract_y
_atom_site_fract_z
Ru1 Ru 0.0000 0.0000 0.0000
Pb1 Pb 0.0000 0.0000 0.4155
Se1 Se 0.0000 0.5000 0.2500
```

Summary:
Crystal system ... tetragonal
ΔE_f (raw) ... 365.4 meV/atom
ΔE to the lowest computed polymorph ... 0 meV/atom
Total magnetization ... 0.000 μB per atom


Entry 8:
A plane-wave DFT calculation with GGA-PBE was carried out for a relaxed MgTlPd crystal.

Geometry as CIF:
```
data_MgTlPd
_chemical_formula_sum 'Mg4 Tl4 Pd4'
_cell_length_a 6.4571
_cell_length_b 6.4571
_cell_length_c 6.4571
_cell_angle_alpha 90.00
_cell_angle_beta 90.00
_cell_angle_gamma 90.00
_symmetry_space_group_name_H-M 'F -4 3 m'
_symmetry_Int_Tables_number 216
_symmetry_space_group_name_Hall 'F -4 2 3'
loop_
_atom_site_label
_atom_site_type_symbol
_atom_site_fract_x
_atom_site_fract_y
_atom_site_fract_z
Mg1 Mg 0.0000 0.0000 0.0000
Tl1 Tl 0.0000 0.0000 0.5000
Pd1 Pd 0.2500 0.2500 0.7500
```

Summary:
Crystal system ... cubic
Uncorrected energy ... -3.34 eV per atom
Total magnetization ... 0.000 μB per atom


Entry 9:
A plane-wave DFT calculation with GGA-PBE was carried out for a relaxed Sr2AcTl2Pb2 crystal.

Geometry as CIF:
```
data_Sr2AcTl2Pb2
_chemical_formula_sum 'Sr6 Ac3 Tl6 Pb6'
_cell_length_a 5.0001
_cell_length_b 5.0001
_cell_length_c 38.5150
_cell_angle_alpha 90.00
_cell_angle_beta 90.00
_cell_angle_gamma 120.00
_symmetry_space_group_name_H-M 'R -3 m'
_symmetry_Int_Tables_number 166
_symmetry_space_group_name_Hall '-R 3 2"'
loop_
_atom_site_label
_atom_site_type_symbol
_atom_site_fract_x
_atom_site_fract_y
_atom_site_fract_z
Sr1 Sr 0.0000 0.0000 0.1205
Ac1 Ac 0.0000 0.0000 0.0000
Tl1 Tl 0.0000 0.0000 0.4138
Pb1 Pb 0.0000 0.0000 0.2846
```

Summary:
Crystal system ... trigonal
Uncorrected energy ... -3.10 eV per atom
Total magnetization ... 0.000 μB per atom


Entry 10:
A plane-wave DFT calculation with GGA-PBE was carried out for a relaxed Ta4AsC2 crystal.

Geometry as CIF:
```
data_Ta4AsC2
_chemical_formula_sum 'Ta16 As4 C8'
_cell_length_a 3.2986
_cell_length_b 10.7467
_cell_length_c 11.0289
_cell_angle_alpha 90.00
_cell_angle_beta 90.00
_cell_angle_gamma 90.00
_symmetry_space_group_name_H-M 'C m c m'
_symmetry_Int_Tables_number 63
_symmetry_space_group_name_Hall '-C 2c 2'
loop_
_atom_site_label
_atom_site_type_symbol
_atom_site_fract_x
_atom_site_fract_y
_atom_site_fract_z
Ta1 Ta 0.0000 0.0000 0.0000
Ta2 Ta 0.0000 0.2619 0.1097
Ta3 Ta 0.0000 0.4235 0.7500
As1 As 0.0000 0.1075 0.7500
C1 C 0.0000 0.3650 0.5610
```

Summary:
Crystal system ... orthorhombic
Uncorrected energy ... -10.54 eV per atom
Total magnetization ... 0.000 μB per atom


Entry 11:
A plane-wave DFT calculation with GGA-PBE was carried out for a relaxed CaSi2W crystal.

Geometry as CIF:
```
data_CaSi2W
_chemical_formula_sum 'Ca4 Si8 W4'
_cell_length_a 6.4608
_cell_length_b 6.4608
_cell_length_c 6.4608
_cell_angle_alpha 90.00
_cell_angle_beta 90.00
_cell_angle_gamma 90.00
_symmetry_space_group_name_H-M 'F -4 3 m'
_symmetry_Int_Tables_number 216
_symmetry_space_group_name_Hall 'F -4 2 3'
loop_
_atom_site_label
_atom_site_type_symbol
_atom_site_fract_x
_atom_site_fract_y
_atom_site_fract_z
Ca1 Ca 0.0000 0.0000 0.0000
Si1 Si 0.0000 0.0000 0.5000
Si2 Si 0.2500 0.2500 0.7500
W1 W 0.2500 0.2500 0.2500
```

Summary:
Crystal system ... cubic
ΔE_f (raw) ... 776.9 meV/atom
ΔE to the lowest computed polymorph ... 924 meV/atom
Total magnetization ... 0.000 μB per atom


Entry 12:
A plane-wave DFT calculation with GGA-PBE was carried out for a relaxed MgZrHgF2 crystal.

Geometry as CIF:
```
data_MgZrHgF2
_chemical_formula_sum 'Mg1 Zr1 Hg1 F2'
_cell_length_a 4.6203
_cell_length_b 4.6203
_cell_length_c 5.7654
_cell_angle_alpha 90.00
_cell_angle_beta 90.00
_cell_angle_gamma 90.00
_symmetry_space_group_name_H-M 'P 4/m m m'
_symmetry_Int_Tables_number 123
_symmetry_space_group_name_Hall '-P 4 2'
loop_
_atom_site_label
_atom_site_type_symbol
_atom_site_fract_x
_atom_site_fract_y
_atom_site_fract_z
Mg1 Mg 0.0000 0.0000 0.0000
Zr1 Zr 0.5000 0.5000 0.0000
Hg1 Hg 0.5000 0.5000 0.5000
F1 F 0.0000 0.5000 0.5000
```

Summary:
Crystal system ... tetragonal
ΔE_f (raw) ... -158.8 meV/atom
Total magnetization ... 0.414 μB per atom